Below is TmCrO3 after structural relaxation, with properties calculated at the GGA+U level.

Cell and atoms, written as POSCAR:
```
TmCrO3
1.0
3.832 0.000 -0.001
0.000 3.831 0.000
0.003 0.000 3.832
Tm O Cr
1 3 1
direct
0.000 0.000 0.000 Tm
0.500 0.000 0.500 O
0.500 0.500 0.000 O
0.000 0.500 0.500 O
0.500 0.500 0.500 Cr
```

Calculated values
DFT total energy	-39.05	eV/cell
magnetic moment	3.00	μB/f.u.
space-group type	Pm-3m, No. 221